A | ## AlCrW (PBE)

Data for an optimized crystal structure of AlCrW.

The space group is I4mm (No. 107) and the conventional cell measures 2.795, 2.795 and 11.318 Å, with angles of 90.00, 90.00 and 90.00 degrees. The asymmetric unit holds Al at (0.000, 0.000, 0.000), Cr at (0.000, 0.000, 0.341) and W at (0.000, 0.000, 0.676).

The magnetization comes out at 4.78 μB/cell.

B | ## AlCrW (PBE)

Data for an optimized crystal structure of AlCrW.

The space group is Imm2 (No. 44) and the conventional cell measures 2.643, 4.116 and 7.901 Å, with angles of 90.00, 90.00 and 90.00 degrees. The asymmetric unit holds Al at (0.000, 0.000, 0.000), Cr at (0.000, 0.000, 0.660) and W at (0.000, 0.000, 0.335).

The magnetization comes out at 0.00 μB/cell.

Best to worst by energy: B, A.

A | ## AlCrW (PBE)

Data for an optimized crystal structure of AlCrW.

The space group is F-43m (No. 216) and the conventional cell measures 5.948, 5.948 and 5.948 Å, with angles of 90.00, 90.00 and 90.00 degrees. The asymmetric unit holds Al at (0.000, 0.000, 0.000), Cr at (0.000, 0.000, 0.500) and W at (0.250, 0.250, 0.750).

The magnetization comes out at 4.39 μB/cell.

B | ## AlCrW (PBE)

Data for an optimized crystal structure of AlCrW.

The space group is F-43m (No. 216) and the conventional cell measures 5.834, 5.834 and 5.834 Å, with angles of 90.00, 90.00 and 90.00 degrees. The asymmetric unit holds Al at (0.000, 0.000, 0.000), Cr at (0.250, 0.250, 0.250) and W at (0.000, 0.000, 0.500).

The magnetization comes out at 0.01 μB/cell.

Best to worst by energy: B, A.